Crystalline BRhIF2 at its relaxed geometry. Source: Alexandria, functional PBE.

* formation energy (no corrections): 921.9 meV per atom
* size of the total moment: 1.2 μB per cell
* D(E_F): 3.53 states/eV per cell
* electronic total energy: -14.712 eV/f.u.

Cell lengths 4.3963, 4.3963, 4.8411 Å; angles 90.00, 90.00, 90.00 degrees
Space group P4/mmm (No. 123)
Unique sites:
B: 0.0000 0.0000 0.0000 (multiplicity 1)
Rh: 0.5000 0.5000 0.0000 (multiplicity 1)
I: 0.0000 0.0000 0.5000 (multiplicity 1)
F: 0.0000 0.5000 0.5000 (multiplicity 2)